w.
The following is a DFT calculation (PBE-GGA) of crystalline NpBIr2 at its relaxed geometry.

Results
Fermi-level density of states = 6.6 states/eV/f.u.
Total magnetic moment = 2.8 μB/f.u.
Crystal system = trigonal

Lattice parameters (Å, degrees): 3.7963 3.7963 5.5544 70.02 70.02 60.00
Last column: nearest neighbours and their distance in Å.
Positions (direct):
Np 0.0000 0.0000 0.0000  6 Ir 2.81
B 0.5000 0.5000 0.5000  6 Ir 2.33
Ir 0.7819 0.7819 0.6542  3 B 2.33
Ir 0.2181 0.2181 0.3458  3 B 2.33



x.
The following is a DFT calculation (PBE-GGA) of crystalline NpBIr2 at its relaxed geometry.

Results
Fermi-level density of states = 8.1 states/eV/f.u.
Total magnetic moment = 2.5 μB/f.u.
Crystal system = orthorhombic

Lattice parameters (Å, degrees): 3.7393 5.1912 6.6291 90.00 90.00 111.09
Last column: nearest neighbours and their distance in Å.
Positions (direct):
Np 0.9378 0.8754 0.2500  3 B 2.77-2.79, 8 Ir 2.83-3.09
Np 0.0622 0.1246 0.7500  3 B 2.77-2.79, 8 Ir 2.83-3.09
B 0.7760 0.5523 0.7500  6 Ir 2.31-2.43
B 0.2240 0.4477 0.2500  6 Ir 2.31-2.43
Ir 0.3513 0.7026 0.5443  3 B 2.31-2.43
Ir 0.6487 0.2974 0.4557  3 B 2.31-2.43
Ir 0.3513 0.7026 0.9557  3 B 2.31-2.43
Ir 0.6487 0.2974 0.0443  3 B 2.31-2.43



How do the structures above rank in stability at the extremes? x comes first and w comes last.